A geometry-optimized LiHfPd2Br structure. Source: the Alexandria database, functional PBE-GGA.

Computed properties:
The formation energy (no corrections) is 0.4766 eV per atom. Its space group is No. 123.

abc: 4.7840 4.8938 4.7840
angles: 90.00 90.00 90.00
Positions (direct):
Pd 0.5000 0.0000 0.0000
Pd 0.0000 0.0000 0.5000
Hf 0.0000 0.5000 0.0000
Li 0.5000 0.5000 0.5000
Br 0.0000 0.0000 0.0000

---

A geometry-optimized Rb2LiHfBr6 structure. Source: the Alexandria database, functional PBE-GGA.

Computed properties:
The distance to the lowest polymorph of the same formula is 11 meV per atom. The formation energy (no corrections) is -1.4702 eV per atom. Its space group is No. 225.

abc: 7.6794 7.6794 7.6797
angles: 60.00 60.00 90.00
Last column: magnetic moment on the atom in μB.
Positions (direct):
Br 0.7535 0.2465 0.0000  0.00
Br 0.2465 0.7535 0.0000  0.00
Br 0.2466 0.2466 0.5069  0.00
Br 0.7535 0.7535 0.0000  0.00
Br 0.7534 0.7534 0.4931  0.00
Br 0.2465 0.2465 0.0000  0.00
Rb 0.2500 0.7500 0.5000  0.00
Rb 0.7500 0.2500 0.5000  0.00
Li 0.5000 0.5000 0.0000  0.00
Hf 0.0000 0.0000 0.0000  0.67